1.
Density functional theory data (PBE) for a relaxed structure of Hf2ReMo.

Results
spin magnetization = 0.011 μB per formula unit
crystal system = cubic
space group = F-43m, No. 216
DFT formation energy = -29 meV/atom

abc: 4.638 4.638 4.638
angles: 60.00 60.00 60.00
Positions (direct):
Re  0.000  0.000  0.000
Hf  0.500  0.500  0.500
Hf  0.250  0.250  0.250
Mo  0.750  0.750  0.750

2.
Density functional theory data (PBE) for a relaxed structure of RbFeNiSe3.

Results
spin magnetization = 2.178 μB per formula unit
crystal system = orthorhombic
space group = Cmcm, No. 63
distance to the lowest polymorph of the same formula = 0.014 eV per atom

abc: 7.880 7.880 9.705
angles: 90.00 90.00 153.42
Last column: magnetic moment on the atom in μB.
Positions (direct):
Fe  0.500  0.500  0.500  2.05
Fe  0.500  0.500  0.000  2.05
Se  0.440  0.560  0.250  -0.04
Se  0.107  0.893  0.040  0.00
Se  0.893  0.107  0.540  0.00
Se  0.893  0.107  0.960  0.00
Se  0.107  0.893  0.460  0.00
Se  0.560  0.440  0.750  -0.04
Rb  0.253  0.747  0.750  0.00
Rb  0.747  0.253  0.250  0.00
Ni  0.966  0.034  0.750  0.13
Ni  0.034  0.966  0.250  0.13

3.
Density functional theory data (PBE) for a relaxed structure of SrAg2Bi4.

Results
crystal system = orthorhombic
space group = Fddd, No. 70
total energy = -48.3 eV per cell

abc: 5.938 5.938 13.182
angles: 100.11 100.11 102.75
Positions (direct):
Ag  0.618  0.118  0.236
Ag  0.882  0.382  0.764
Ag  0.368  0.368  0.736
Ag  0.632  0.632  0.264
Sr  0.500  0.500  0.000
Sr  0.750  0.250  0.500
Bi  0.961  0.289  0.119
Bi  0.289  0.461  0.381
Bi  0.092  0.920  0.381
Bi  0.170  0.842  0.881
Bi  0.080  0.908  0.619
Bi  0.539  0.711  0.619
Bi  0.711  0.039  0.881
Bi  0.158  0.830  0.119

4.
Density functional theory data (PBE) for a relaxed structure of ZrNbNiB.

Results
spin magnetization = 1.830 μB per formula unit
crystal system = cubic
space group = F-43m, No. 216
distance to the lowest polymorph of the same formula = 0.582 eV per atom

abc: 4.342 4.342 4.342
angles: 60.00 60.00 60.00
Positions (direct):
Zr  0.500  0.500  0.500
Ni  0.750  0.750  0.750
Nb  0.250  0.250  0.250
B  0.000  0.000  0.000

Calculated volume readings, ordered: 17.64, 22.47, 31.07, 14.47 Å³ per atom